Entry 1:
VASP calculation (PBE-GGA) on a relaxed Tm2CoGe crystal.

Cell: 5.7088 3.9430 7.8327 Å, 90.00 111.28 90.00°
Fractional coordinates of all 8 atoms:
Tm1 0.1846 0.2500 0.4073
Tm2 0.2692 0.7500 0.0555
Tm3 0.7308 0.2500 0.9445
Tm4 0.8154 0.7500 0.5927
Co1 0.1472 0.2500 0.7844
Co2 0.8528 0.7500 0.2156
Ge1 0.3666 0.7500 0.7088
Ge2 0.6334 0.2500 0.2912

DOS at the Fermi energy in states/eV/f.u.: 4.2
E in eV/atom: -5.73

Entry 2:
VASP calculation (PBE-GGA) on a relaxed YMg3 crystal.

Cell: 5.9303 5.9303 5.9303 Å, 90.00 90.00 90.00°
Fractional coordinates of all 8 atoms:
Y1 0.0000 0.0000 0.0000
Y2 0.5000 0.5000 0.5000
Mg1 0.0000 0.2500 0.5000
Mg2 0.0000 0.7500 0.5000
Mg3 0.2500 0.5000 0.0000
Mg4 0.5000 0.0000 0.2500
Mg5 0.5000 0.0000 0.7500
Mg6 0.7500 0.5000 0.0000

DOS at the Fermi energy in states/eV/f.u.: 3.8
E in eV/atom: -2.73

Entry 3:
VASP calculation (PBE-GGA) on a relaxed Ag3Pb6Cl14 crystal.

Cell: 10.5437 10.5437 6.7164 Å, 90.00 90.00 120.00°
Fractional coordinates of all 23 atoms:
Ag1 0.0000 0.0000 0.0000
Ag2 0.3333 0.6667 0.1147
Ag3 0.6667 0.3333 0.5060
Pb1 0.0954 0.3007 0.4650
Pb2 0.2053 0.9046 0.4650
Pb3 0.4511 0.4078 0.9572
Pb4 0.5922 0.0433 0.9572
Pb5 0.6993 0.7947 0.4650
Pb6 0.9567 0.5489 0.9572
Cl1 0.0000 0.0000 0.6224
Cl2 0.0869 0.5647 0.3563
Cl3 0.1898 0.4188 0.8633
Cl4 0.2290 0.8102 0.8633
Cl5 0.2516 0.1559 0.1834
Cl6 0.4142 0.1736 0.6818
Cl7 0.4353 0.5222 0.3563
Cl8 0.4778 0.9131 0.3563
Cl9 0.5812 0.7710 0.8633
Cl10 0.6667 0.3333 0.1282
Cl11 0.7594 0.5858 0.6818
Cl12 0.8264 0.2406 0.6818
Cl13 0.8441 0.0957 0.1834
Cl14 0.9043 0.7484 0.1834

DOS at the Fermi energy in states/eV/f.u.: 7.8
E_form (uncorrected) in eV/atom: -0.874
E in eV/atom: -3.34

Entry 4:
VASP calculation (PBE-GGA) on a relaxed InMoP2 crystal.

Cell: 7.8375 7.8375 7.8375 Å, 23.55 23.55 23.55°
Fractional coordinates of all 4 atoms:
In1 0.0000 0.0000 0.0000
Mo1 0.2348 0.2348 0.2348
P1 0.4959 0.4959 0.4959
P2 0.7632 0.7632 0.7632

DOS at the Fermi energy in states/eV/f.u.: 4.7
E in eV/atom: -5.87